Entry from the Alexandria database: K2BeCo after structural relaxation (PBE-GGA).

a = 3.888 Å, b = 5.694 Å, c = 10.343 Å
α = 90.00°, β = 90.00°, γ = 90.00°
Space group Imm2 (No. 44)
Unique sites:
K 0.000 0.000 0.000 x2
K 0.000 0.500 0.187 x2
Be 0.000 0.000 0.386 x2
Co 0.000 0.500 0.813 x2


Entry from the Alexandria database: CaCe2Pr after structural relaxation (PBE-GGA).

a = 3.4784 Å, b = 3.4784 Å, c = 38.3572 Å
α = 90.00°, β = 90.00°, γ = 120.00°
Space group R-3m (No. 166, hexagonal axes)
Unique sites:
Ca 0.0000 0.0000 0.0000 x3
Ce 0.0000 0.0000 0.0883 x6
Pr 0.0000 0.0000 0.5000 x3


Entry from the Alexandria database: Tb11Ho9Er4 after structural relaxation (PBE-GGA).

a = 16.601 Å, b = 25.095 Å, c = 3.625 Å
α = 90.00°, β = 90.00°, γ = 90.00°
Space group Cmmm (No. 65)
Unique sites:
Tb 0.000 0.000 0.000 x2
Tb 0.000 0.160 0.000 x4
Tb 0.000 0.368 0.000 x4
Tb 0.207 0.500 0.000 x4
Tb 0.226 0.181 0.000 x8
Ho 0.000 0.500 0.500 x2
Ho 0.102 0.267 0.500 x8
Ho 0.141 0.073 0.500 x8
Er 0.156 0.399 0.500 x8


Q: Which ΔH_f (0 K) values were calculated for the entries above? A: 770.1 260.3 51.7, in meV/atom.
Q: Which ρ values were calculated for the entries above? A: 2.1 5.7 8.6, in g/cm3.
Q: Which DOS(E_F) values were calculated for the entries above? A: 4.12 11.69 30.70, in states/eV/f.u..